# ZnTe2Cl GGA-PBE optimized geometry
# formation energy from raw total energies: -0.06 eV/f.u.
# E above lowest polymorph: 0.304 eV/atom
# V: 27.08 A^3/atom
data_ZnTe2Cl
_space_group_name_H-M_alt 'C 1 2/m 1'
_space_group_IT_number 12
_space_group_name_Hall '-C 2y'
_cell_length_a 6.254
_cell_length_b 8.324
_cell_length_c 5.190
_cell_angle_alpha 90.00
_cell_angle_beta 126.72
_cell_angle_gamma 90.00
loop_
_atom_site_label
_atom_site_type_symbol
_atom_site_fract_x
_atom_site_fract_y
_atom_site_fract_z
Zn1 Zn 0.000 0.000 0.000
Te1 Te 0.250 0.250 0.500
Cl1 Cl 0.000 0.500 0.000

# ZnTe2Cl GGA-PBE optimized geometry
# formation energy from raw total energies: -0.15 eV/f.u.
# E above lowest polymorph: 0.281 eV/atom
# V: 26.43 A^3/atom
data_ZnTe2Cl
_space_group_name_H-M_alt 'R -3 m'
_space_group_IT_number 166
_space_group_name_Hall '-R 3 2"'
_cell_length_a 4.1858
_cell_length_b 4.1858
_cell_length_c 20.9045
_cell_angle_alpha 90.00
_cell_angle_beta 90.00
_cell_angle_gamma 120.00
loop_
_atom_site_label
_atom_site_type_symbol
_atom_site_fract_x
_atom_site_fract_y
_atom_site_fract_z
Zn1 Zn 0.0000 0.0000 0.0000
Te1 Te 0.0000 0.0000 0.2679
Cl1 Cl 0.0000 0.0000 0.5000

# Zn2TeCl GGA-PBE optimized geometry
# formation energy from raw total energies: -0.66 eV/f.u.
# E above lowest polymorph: 0.185 eV/atom
# V: 32.29 A^3/atom
data_Zn2TeCl
_space_group_name_H-M_alt 'C m m m'
_space_group_IT_number 65
_space_group_name_Hall '-C 2 2'
_cell_length_a 3.918
_cell_length_b 8.823
_cell_length_c 7.473
_cell_angle_alpha 90.00
_cell_angle_beta 90.00
_cell_angle_gamma 90.00
loop_
_atom_site_label
_atom_site_type_symbol
_atom_site_fract_x
_atom_site_fract_y
_atom_site_fract_z
Zn1 Zn 0.000 0.000 0.245
Te1 Te 0.000 0.500 0.000
Cl1 Cl 0.000 0.500 0.500